# AcLaPrHo | Alexandria | PBE | optimized geometry
data_AcLaPrHo
_symmetry_space_group_name_H-M 'P 1'
_symmetry_Int_Tables_number 1
_symmetry_space_group_name_Hall 'P 1'
_cell_length_a 5.974
_cell_length_b 5.974
_cell_length_c 5.974
_cell_angle_alpha 60.00
_cell_angle_beta 60.00
_cell_angle_gamma 60.00
loop_
_atom_site_label
_atom_site_fract_x
_atom_site_fract_y
_atom_site_fract_z
Pr1 0.750 0.750 0.750
Ac1 0.000 0.000 0.000
Ho1 0.500 0.500 0.500
La1 0.250 0.250 0.250
# Total energy = -17.75 eV/cell
# ΔE_f = 160.4 meV per atom
# Relative energy among the computed polymorphs = 10.5 kJ per mole of atoms